# CeGdCoAu | Alexandria via LeMat-Bulk | PBE | optimized geometry
data_CeGdCoAu
_chemical_formula_sum 'Ce4 Gd4 Co4 Au4'
_cell_length_a 7.088
_cell_length_b 7.088
_cell_length_c 7.088
_cell_angle_alpha 90.00
_cell_angle_beta 90.00
_cell_angle_gamma 90.00
_space_group_name_H-M_alt 'F -4 3 m'
_space_group_IT_number 216
_space_group_name_Hall 'F -4 2 3'
loop_
_atom_site_label
_atom_site_type_symbol
_atom_site_fract_x
_atom_site_fract_y
_atom_site_fract_z
_atom_site_occupancy
Ce1 Ce 0.000 0.000 0.000 1
Gd1 Gd 0.000 0.000 0.500 1
Co1 Co 0.250 0.250 0.750 1
Au1 Au 0.250 0.250 0.250 1
# Spin magnetization   7.359 μB/f.u.
# Formation enthalpy at 0 K   -0.32 eV per atom
# Calculated density   10.3 g/cm³



# CoNiB | Alexandria via LeMat-Bulk | PBE | optimized geometry
data_CoNiB
_chemical_formula_sum 'Co2 Ni2 B2'
_cell_length_a 2.469
_cell_length_b 2.469
_cell_length_c 8.635
_cell_angle_alpha 90.00
_cell_angle_beta 90.00
_cell_angle_gamma 90.00
_space_group_name_H-M_alt 'I 4 m m'
_space_group_IT_number 107
_space_group_name_Hall 'I 4 -2'
loop_
_atom_site_label
_atom_site_type_symbol
_atom_site_fract_x
_atom_site_fract_y
_atom_site_fract_z
_atom_site_occupancy
Co1 Co 0.000 0.000 0.000 1
Ni1 Ni 0.000 0.000 0.718 1
B1 B 0.000 0.000 0.369 1
# Spin magnetization   0.219 μB/f.u.
# Formation enthalpy at 0 K   -0.12 eV per atom
# Calculated density   8.1 g/cm³